## InSnHg2H (PBE)

Data for a relaxed structure of InSnHg2H.

```
InSnHg2H
1.0
5.7336 0.0000 0.0000
0.0000 5.7336 0.0000
0.0000 0.0000 3.7804
In Sn Hg H
1 1 2 1
direct
0.0000 0.0000 0.0000
0.5000 0.5000 0.5000
0.0000 0.5000 0.5000
0.5000 0.0000 0.5000
0.5000 0.5000 0.0000
```

Summary:
Total magnetization (μB/atom): 0.000
VASP energy (eV per atom): -1.95
SG: No. 123

***

## Na3BeCr (PBE)

Data for a relaxed structure of Na3BeCr.

```
Na3BeCr
1.0
5.6817 0.0000 0.0000
0.0000 5.6817 0.0000
0.0000 0.0000 5.6817
Na Be Cr
3 1 1
direct
0.0000 0.0000 0.5000
0.0000 0.5000 0.0000
0.5000 0.0000 0.0000
0.5000 0.5000 0.5000
0.0000 0.0000 0.0000
```

Summary:
Formation energy (meV per atom): 1266
Total magnetization (μB/atom): 1.091
VASP energy (eV per atom): -2.20
SG: No. 221
Offset from the most stable computed form (eV per atom): 0.233

***

## Ba3CuAs (PBE)

Data for a relaxed structure of Ba3CuAs.

```
Ba3CuAs
1.0
6.3342 0.0000 0.0000
0.0000 6.3342 0.0000
0.0000 0.0000 6.3342
Ba Cu As
3 1 1
direct
0.0000 0.0000 0.5000
0.0000 0.5000 0.0000
0.5000 0.0000 0.0000
0.5000 0.5000 0.5000
0.0000 0.0000 0.0000
```

Summary:
Formation energy (meV per atom): -195
Total magnetization (μB/atom): 0.000
VASP energy (eV per atom): -3.10
SG: No. 221
Offset from the most stable computed form (eV per atom): 0.000

***

## NiH5Pt2 (PBE)

Data for a relaxed structure of NiH5Pt2.

```
NiH5Pt2
1.0
3.5320 -2.5997 0.0000
3.5320 2.5997 0.0000
-3.1678 0.0000 4.0152
Ni H Pt
1 5 2
direct
0.0000 0.0000 0.0000
0.1708 0.7021 0.7268
0.2257 0.2257 0.9417
0.2390 0.7882 0.2488
0.7021 0.1708 0.7268
0.7882 0.2390 0.2488
0.4948 0.4948 0.0012
0.9806 0.9806 0.4880
```

Summary:
Total magnetization (μB/atom): 0.000
VASP energy (eV per atom): -4.25
SG: No. 8

***

## CaMnSi2 (PBE)

Data for a relaxed structure of CaMnSi2.

```
CaMnSi2
1.0
0.0000 3.2686 3.2686
3.2686 0.0000 3.2686
3.2686 3.2686 0.0000
Ca Mn Si
1 1 2
direct
0.0000 0.0000 0.0000
0.2500 0.2500 0.2500
0.5000 0.5000 0.5000
0.7500 0.7500 0.7500
```

Summary:
Total magnetization (μB/atom): 0.759
VASP energy (eV per atom): -5.16
SG: No. 216
E_form (uncorrected) (meV/atom): 343

***

## ReTe4 (PBE)

Data for a relaxed structure of ReTe4.

```
ReTe4
1.0
5.2475 0.0000 0.0000
0.0000 5.2475 0.0000
0.0000 0.0000 5.2475
Re Te
1 4
direct
0.0000 0.0000 0.0000
0.0000 0.0000 0.5000
0.0000 0.5000 0.0000
0.5000 0.0000 0.0000
0.5000 0.5000 0.5000
```

Summary:
Total magnetization (μB/atom): 0.000
VASP energy (eV per atom): -4.39
SG: No. 221
E_form (uncorrected) (meV/atom): 612

***

## TbEr3Mg8 (PBE)

Data for a relaxed structure of TbEr3Mg8.

```
TbEr3Mg8
1.0
3.0164 1.7415 9.7705
-3.0164 1.7415 9.7705
0.0000 -3.4830 9.7705
Tb Er Mg
1 3 8
direct
0.0000 0.0000 0.0000
0.3757 0.3757 0.3757
0.5003 0.5003 0.5003
0.8750 0.8750 0.8750
0.1878 0.1878 0.1878
0.4377 0.4377 0.9372
0.4377 0.9372 0.4377
0.4383 0.9377 0.9377
0.6877 0.6877 0.6877
0.9372 0.4377 0.4377
0.9377 0.4383 0.9377
0.9377 0.9377 0.4383
```

Summary:
Formation energy (meV per atom): -63
Total magnetization (μB/atom): 0.000
VASP energy (eV per atom): -2.65
SG: No. 160

***

## NaRuSe2O8 (PBE)

Data for a relaxed structure of NaRuSe2O8.

```
NaRuSe2O8
1.0
4.2501 -2.7728 0.0000
4.2501 2.7728 0.0000
-0.0381 0.0000 7.2712
Na Ru Se O
1 1 2 8
direct
0.0000 0.0000 0.0000
0.0000 0.0000 0.5000
0.3555 0.3555 0.7124
0.6445 0.6445 0.2876
0.2318 0.7290 0.7036
0.2383 0.2383 0.5200
0.2710 0.7682 0.2964
0.2731 0.2731 0.9153
0.7269 0.7269 0.0847
0.7290 0.2318 0.7036
0.7617 0.7617 0.4800
0.7682 0.2710 0.2964
```

Summary:
Total magnetization (μB/atom): 0.084
VASP energy (eV per atom): -5.57
SG: No. 12
E_form (uncorrected) (meV/atom): -801